Entry 1:
# Ce2Ga5Pt4 (GGA-PBE, relaxed)
data_Ce2Ga5Pt4
_cell_length_a 5.485
_cell_length_b 9.379
_cell_length_c 16.360
_cell_angle_alpha 90.00
_cell_angle_beta 90.00
_cell_angle_gamma 90.00
_space_group_name_H-M_alt 'F m m m'
_space_group_IT_number 69
_space_group_name_Hall '-F 2 2'
loop_
_atom_site_label
_atom_site_type_symbol
_atom_site_fract_x
_atom_site_fract_y
_atom_site_fract_z
_atom_site_occupancy
Ce1 Ce 0.000 0.000 0.128 1
Ga1 Ga 0.000 0.000 0.500 1
Ga2 Ga 0.250 0.250 0.000 1
Ga3 Ga 0.250 0.250 0.250 1
Pt1 Pt 0.000 0.156 0.368 1
# Density   11.1 Mg/m³
# Fermi-level density of states   0.96 states/eV per atom
# Energy relative to the elements   -0.824 eV/atom
# Total moment   1.09 μB per formula unit

=====

Entry 2:
# P2Os (GGA-PBE, relaxed)
data_P2Os
_cell_length_a 8.393
_cell_length_b 2.963
_cell_length_c 7.500
_cell_angle_alpha 90.00
_cell_angle_beta 90.50
_cell_angle_gamma 90.00
_space_group_name_H-M_alt 'C 1 m 1'
_space_group_IT_number 8
loop_
_space_group_symop_operation_xyz
'x,y,z'
'x,-y,z'
'x+1/2,y+1/2,z'
'x+1/2,-y+1/2,z'
loop_
_atom_site_label
_atom_site_type_symbol
_atom_site_fract_x
_atom_site_fract_y
_atom_site_fract_z
_atom_site_occupancy
P1 P 0.000 0.000 0.000 1
P2 P 0.034 0.000 0.560 1
P3 P 0.264 0.000 0.716 1
P4 P 0.324 0.500 0.266 1
Os1 Os 0.047 0.500 0.308 1
Os2 Os 0.211 0.500 0.965 1
# Density   9.0 Mg/m³
# Fermi-level density of states   0.28 states/eV per atom
# Energy relative to the elements   -0.047 eV/atom
# Total moment   0.00 μB per formula unit

=====

Entry 3:
# Si2PtW (GGA-PBE, relaxed)
data_Si2PtW
_cell_length_a 6.609
_cell_length_b 6.609
_cell_length_c 5.883
_cell_angle_alpha 90.00
_cell_angle_beta 90.00
_cell_angle_gamma 90.00
_space_group_name_H-M_alt 'I -4 2 d'
_space_group_IT_number 122
_space_group_name_Hall 'I -4 2bw'
loop_
_atom_site_label
_atom_site_type_symbol
_atom_site_fract_x
_atom_site_fract_y
_atom_site_fract_z
_atom_site_occupancy
Si1 Si 0.231 0.250 0.125 1
Pt1 Pt 0.000 0.000 0.000 1
W1 W 0.000 0.000 0.500 1
# Formation energy (no corrections)   0.287 eV per atom
# Density   11.2 Mg/m³
# Fermi-level density of states   0.64 states/eV per atom
# Polymorph energy (0 for the lowest one)   53.9 kJ/mol of atoms
# Total moment   0.00 μB per formula unit

=====

Entry 4:
# SmPu5Rh6 (GGA-PBE, relaxed)
data_SmPu5Rh6
_cell_length_a 4.857
_cell_length_b 6.872
_cell_length_c 14.592
_cell_angle_alpha 90.00
_cell_angle_beta 90.00
_cell_angle_gamma 90.00
_space_group_name_H-M_alt 'I m m m'
_space_group_IT_number 71
_space_group_name_Hall '-I 2 2'
loop_
_atom_site_label
_atom_site_type_symbol
_atom_site_fract_x
_atom_site_fract_y
_atom_site_fract_z
_atom_site_occupancy
Sm1 Sm 0.000 0.000 0.000 1
Pu1 Pu 0.000 0.000 0.332 1
Pu2 Pu 0.000 0.500 0.000 1
Pu3 Pu 0.000 0.500 0.335 1
Rh1 Rh 0.000 0.240 0.500 1
Rh2 Rh 0.000 0.256 0.171 1
# Density   13.6 Mg/m³
# Fermi-level density of states   3.98 states/eV per atom
# Energy relative to the elements   -0.435 eV/atom
# Total moment   5.00 μB per formula unit

=====

Entry 5:
# TiCoS2Cl (GGA-PBE, relaxed)
data_TiCoS2Cl
_cell_length_a 4.449
_cell_length_b 4.449
_cell_length_c 4.352
_cell_angle_alpha 90.00
_cell_angle_beta 90.00
_cell_angle_gamma 90.00
_space_group_name_H-M_alt 'P 4/m m m'
_space_group_IT_number 123
_space_group_name_Hall '-P 4 2'
loop_
_atom_site_label
_atom_site_type_symbol
_atom_site_fract_x
_atom_site_fract_y
_atom_site_fract_z
_atom_site_occupancy
Ti1 Ti 0.000 0.000 0.000 1
Co1 Co 0.500 0.500 0.500 1
S1 S 0.000 0.500 0.500 1
Cl1 Cl 0.500 0.500 0.000 1
# Formation energy (no corrections)   0.047 eV per atom
# Density   4.0 Mg/m³
# Fermi-level density of states   1.08 states/eV per atom
# Polymorph energy (0 for the lowest one)   11.0 kJ/mol of atoms
# Total moment   0.18 μB per formula unit

=====

Entry 6:
# TaHgRh2 (GGA-PBE, relaxed)
data_TaHgRh2
_cell_length_a 3.1675
_cell_length_b 3.1675
_cell_length_c 24.9137
_cell_angle_alpha 90.00
_cell_angle_beta 90.00
_cell_angle_gamma 120.00
_space_group_name_H-M_alt 'R -3 m'
_space_group_IT_number 166
_space_group_name_Hall '-R 3 2"'
loop_
_atom_site_label
_atom_site_type_symbol
_atom_site_fract_x
_atom_site_fract_y
_atom_site_fract_z
_atom_site_occupancy
Ta1 Ta 0.0000 0.0000 0.0000 1
Hg1 Hg 0.0000 0.0000 0.5000 1
Rh1 Rh 0.0000 0.0000 0.2600 1
# Density   13.5 Mg/m³
# Fermi-level density of states   0.94 states/eV per atom
# Energy relative to the elements   -0.154 eV/atom
# Total moment   0.00 μB per formula unit

=====

Entry 7:
# Er3IrSe2 (GGA-PBE, relaxed)
data_Er3IrSe2
_cell_length_a 8.263
_cell_length_b 11.574
_cell_length_c 24.194
_cell_angle_alpha 90.00
_cell_angle_beta 90.00
_cell_angle_gamma 90.00
_space_group_name_H-M_alt 'F d d d'
_space_group_IT_number 70
loop_
_space_group_symop_operation_xyz
'x,y,z'
'-x,-y,-z'
'-x+1/4,-y+1/4,z'
'x+1/4,y+1/4,-z'
'x,-y+1/4,-z+1/4'
'-x,y+1/4,z+1/4'
'-x+1/4,y,-z+1/4'
'x+1/4,-y,z+1/4'
'x,y+1/2,z+1/2'
'-x,-y+1/2,-z+1/2'
'-x+1/4,-y+3/4,z+1/2'
'x+1/4,y+3/4,-z+1/2'
'x,-y+3/4,-z+3/4'
'-x,y+3/4,z+3/4'
'-x+1/4,y+1/2,-z+3/4'
'x+1/4,-y+1/2,z+3/4'
'x+1/2,y,z+1/2'
'-x+1/2,-y,-z+1/2'
'-x+3/4,-y+1/4,z+1/2'
'x+3/4,y+1/4,-z+1/2'
'x+1/2,-y+1/4,-z+3/4'
'-x+1/2,y+1/4,z+3/4'
'-x+3/4,y,-z+3/4'
'x+3/4,-y,z+3/4'
'x+1/2,y+1/2,z'
'-x+1/2,-y+1/2,-z'
'-x+3/4,-y+3/4,z'
'x+3/4,y+3/4,-z'
'x+1/2,-y+3/4,-z+1/4'
'-x+1/2,y+3/4,z+1/4'
'-x+3/4,y+1/2,-z+1/4'
'x+3/4,-y+1/2,z+1/4'
loop_
_atom_site_label
_atom_site_type_symbol
_atom_site_fract_x
_atom_site_fract_y
_atom_site_fract_z
_atom_site_occupancy
Er1 Er 0.103 0.375 0.375 1
Er2 Er 0.112 0.363 0.213 1
Ir1 Ir 0.125 0.125 0.042 1
Se1 Se 0.125 0.125 0.379 1
Se2 Se 0.125 0.125 0.545 1
# Formation energy (no corrections)   -1.444 eV per atom
# Density   9.8 Mg/m³
# Fermi-level density of states   0.50 states/eV per atom
# Total moment   0.00 μB per formula unit

=====

Entry 8:
# LiTl5Hg4 (GGA-PBE, relaxed)
data_LiTl5Hg4
_cell_length_a 16.895
_cell_length_b 3.373
_cell_length_c 10.139
_cell_angle_alpha 90.00
_cell_angle_beta 104.99
_cell_angle_gamma 90.00
_space_group_name_H-M_alt 'C 1 2/m 1'
_space_group_IT_number 12
loop_
_space_group_symop_operation_xyz
'x,y,z'
'-x,-y,-z'
'-x,y,-z'
'x,-y,z'
'x+1/2,y+1/2,z'
'-x+1/2,-y+1/2,-z'
'-x+1/2,y+1/2,-z'
'x+1/2,-y+1/2,z'
loop_
_atom_site_label
_atom_site_type_symbol
_atom_site_fract_x
_atom_site_fract_y
_atom_site_fract_z
_atom_site_occupancy
Li1 Li 0.000 0.000 0.000 1
Tl1 Tl 0.000 0.000 0.500 1
Tl2 Tl 0.186 0.500 0.588 1
Tl3 Tl 0.209 0.500 0.112 1
Hg1 Hg 0.077 0.500 0.823 1
Hg2 Hg 0.099 0.000 0.277 1
# Density   10.9 Mg/m³
# Fermi-level density of states   0.45 states/eV per atom
# Energy relative to the elements   -0.049 eV/atom
# Polymorph energy (0 for the lowest one)   0.0 kJ/mol of atoms
# Total moment   0.00 μB per formula unit

=====

Entry 9:
# Sr2CdBi2 (GGA-PBE, relaxed)
data_Sr2CdBi2
_cell_length_a 4.609
_cell_length_b 4.609
_cell_length_c 18.351
_cell_angle_alpha 90.00
_cell_angle_beta 90.00
_cell_angle_gamma 90.00
_space_group_name_H-M_alt 'I 4/m m m'
_space_group_IT_number 139
_space_group_name_Hall '-I 4 2'
loop_
_atom_site_label
_atom_site_type_symbol
_atom_site_fract_x
_atom_site_fract_y
_atom_site_fract_z
_atom_site_occupancy
Sr1 Sr 0.000 0.000 0.107 1
Cd1 Cd 0.000 0.000 0.500 1
Bi1 Bi 0.000 0.500 0.250 1
# Density   6.0 Mg/m³
# Fermi-level density of states   0.54 states/eV per atom
# Energy relative to the elements   -0.350 eV/atom
# Total moment   0.00 μB per formula unit

=====

Entry 10:
# TaCuTe2 (GGA-PBE, relaxed)
data_TaCuTe2
_cell_length_a 3.6633
_cell_length_b 3.6633
_cell_length_c 25.9462
_cell_angle_alpha 90.00
_cell_angle_beta 90.00
_cell_angle_gamma 120.00
_space_group_name_H-M_alt 'R -3 m'
_space_group_IT_number 166
_space_group_name_Hall '-R 3 2"'
loop_
_atom_site_label
_atom_site_type_symbol
_atom_site_fract_x
_atom_site_fract_y
_atom_site_fract_z
_atom_site_occupancy
Ta1 Ta 0.0000 0.0000 0.0000 1
Cu1 Cu 0.0000 0.0000 0.5000 1
Te1 Te 0.0000 0.0000 0.4039 1
# Formation energy (no corrections)   0.051 eV per atom
# Density   8.3 Mg/m³
# Fermi-level density of states   0.33 states/eV per atom
# Total moment   0.00 μB per formula unit

=====

Entry 11:
# TbDyIr (GGA-PBE, relaxed)
data_TbDyIr
_cell_length_a 4.1073
_cell_length_b 4.1073
_cell_length_c 6.1664
_cell_angle_alpha 90.00
_cell_angle_beta 90.00
_cell_angle_gamma 120.00
_space_group_name_H-M_alt 'P 3 m 1'
_space_group_IT_number 156
loop_
_space_group_symop_operation_xyz
'x,y,z'
'-y,x-y,z'
'-x+y,-x,z'
'-y,-x,z'
'-x+y,y,z'
'x,x-y,z'
loop_
_atom_site_label
_atom_site_type_symbol
_atom_site_fract_x
_atom_site_fract_y
_atom_site_fract_z
_atom_site_occupancy
Tb1 Tb 0.0000 0.0000 0.0000 1
Dy1 Dy 0.3333 0.6667 0.4597 1
Ir1 Ir 0.6667 0.3333 0.2314 1
# Density   9.5 Mg/m³
# Fermi-level density of states   0.65 states/eV per atom
# Energy relative to the elements   -0.555 eV/atom
# Polymorph energy (0 for the lowest one)   12.8 kJ/mol of atoms
# Total moment   0.00 μB per formula unit

=====

Entry 12:
# CsTl6Br8 (GGA-PBE, relaxed)
data_CsTl6Br8
_cell_length_a 11.8764
_cell_length_b 11.8764
_cell_length_c 4.8525
_cell_angle_alpha 90.00
_cell_angle_beta 90.00
_cell_angle_gamma 120.00
_space_group_name_H-M_alt 'P -3'
_space_group_IT_number 147
loop_
_space_group_symop_operation_xyz
'x,y,z'
'-x,-y,-z'
'-y,x-y,z'
'y,-x+y,-z'
'-x+y,-x,z'
'x-y,x,-z'
loop_
_atom_site_label
_atom_site_type_symbol
_atom_site_fract_x
_atom_site_fract_y
_atom_site_fract_z
_atom_site_occupancy
Cs1 Cs 0.0000 0.0000 0.0000 1
Tl1 Tl 0.1329 0.4681 0.7511 1
Br1 Br 0.0323 0.7154 0.7482 1
Br2 Br 0.3333 0.6667 0.2511 1
# Formation energy (no corrections)   -0.889 eV per atom
# Density   5.6 Mg/m³
# Fermi-level density of states   0.68 states/eV per atom
# Polymorph energy (0 for the lowest one)   0.0 kJ/mol of atoms
# Total moment   0.00 μB per formula unit

=====

- The lowest Fermi-level density of states belongs to which entry?
  P2Os